Here is CaCoRe2 after structural relaxation from Alexandria. Energies are from PBEsol.

Geometry as POSCAR:
```
CaCoRe2
1.0
2.588 0.000 0.000
0.000 5.194 0.000
0.000 -2.597 4.601
Re Ca Co
2 1 1
direct
0.000 0.500 0.500
0.000 0.000 0.500
0.500 0.000 0.000
0.500 0.500 0.000
```

Values from the calculation:
The calculation puts the energy of formation from the pure elements at 0.786 eV/atom. For the energy above the most stable polymorph in this dataset, the calculation gives 0.134 eV per atom. As for the space group: Cmmm, No. 65.

=====

Here is Ba2ZrAg after structural relaxation from Alexandria. Energies are from PBEsol.

Geometry as POSCAR:
```
Ba2ZrAg
1.0
4.876 0.000 0.000
0.000 4.876 0.000
-2.438 -2.438 5.117
Ag Ba Zr
1 2 1
direct
0.000 0.000 0.000
0.750 0.250 0.500
0.250 0.750 0.500
0.500 0.500 0.000
```

Values from the calculation:
The calculation puts the energy of formation from the pure elements at 0.561 eV/atom. As for the space group: I4/mmm, No. 139.

=====

Here is SiAsIO2 after structural relaxation from Alexandria. Energies are from PBEsol.

Geometry as POSCAR:
```
SiAsIO2
1.0
3.636 0.000 0.000
0.000 3.636 0.000
0.000 0.000 6.374
I As Si O
1 1 1 2
direct
0.000 0.000 0.500
0.500 0.500 0.500
0.000 0.000 0.000
0.000 0.500 0.000
0.500 0.000 0.000
```

Values from the calculation:
The calculation puts the raw formation energy at -0.383 eV/atom. As for the space group: P4/mmm, No. 123.